[1]
Density functional theory data (PBE) for crystalline CsK3Sn at its relaxed geometry.

Properties
- space-group type = Pm-3m
- magnetic moment (μB/f.u.) = 0.000
- DFT formation energy (eV/f.u.) = 3.3
- calculated volume (Å³ per cell) = 327.6

```
CsK3Sn
1.0
6.8939 0.0000 0.0000
0.0000 6.8939 0.0000
0.0000 0.0000 6.8939
Cs K Sn
1 3 1
Cartesian
0.0000 0.0000 0.0000
0.0000 0.0000 3.4470
0.0000 3.4470 0.0000
3.4470 0.0000 0.0000
3.4470 3.4470 3.4470
```


[2]
Density functional theory data (PBE) for crystalline RbBiAs2Se at its relaxed geometry.

Properties
- space-group type = P4/mmm
- uncorrected formation energy (meV per atom) = 1387
- magnetic moment (μB/f.u.) = 0.000
- calculated volume (Å³ per cell) = 172.6

```
RbBiAs2Se
1.0
5.5276 0.0000 0.0000
0.0000 5.5276 0.0000
0.0000 0.0000 5.6505
Rb Bi As Se
1 1 2 1
Cartesian
0.0000 0.0000 0.0000
2.7638 2.7638 2.8253
0.0000 2.7638 0.0000
2.7638 0.0000 0.0000
0.0000 0.0000 2.8253
```


[3]
Density functional theory data (PBE) for crystalline NaCuH2 at its relaxed geometry.

Properties
- space-group type = I-42d
- E_tot (eV per atom) = -3.13
- magnetic moment (μB/f.u.) = 0.000
- calculated volume (Å³ per cell) = 174.8

```
NaCuH2
1.0
4.9025 0.0000 0.0000
0.0000 4.9025 0.0000
0.0000 0.0000 7.2720
Na Cu H
4 4 8
Cartesian
0.0000 0.0000 0.0000
0.0000 2.4512 1.8180
2.4512 0.0000 5.4540
2.4512 2.4512 3.6360
0.0000 0.0000 3.6360
0.0000 2.4512 5.4540
2.4512 0.0000 1.8180
2.4512 2.4512 0.0000
0.6801 1.2256 4.5450
1.2256 3.1313 6.3630
1.2256 4.2224 2.7270
1.7712 1.2256 0.9090
3.1313 3.6769 0.9090
3.6769 0.6801 2.7270
3.6769 1.7712 6.3630
4.2224 3.6769 4.5450
```


[4]
Density functional theory data (PBE) for crystalline Sm4ErSc3S8 at its relaxed geometry.

Properties
- space-group type = R-3m
- uncorrected formation energy (meV per atom) = -1939
- magnetic moment (μB/f.u.) = 0.000
- calculated volume (Å³ per cell) = 329.4

```
Sm4ErSc3S8
1.0
3.8425 2.2185 6.4410
-3.8425 2.2185 6.4410
0.0000 -4.4370 6.4410
Sm Er Sc S
4 1 3 8
Cartesian
0.0000 0.0000 0.0000
-1.9213 -1.1092 6.4410
-1.9213 1.1092 12.8820
0.0000 2.2185 6.4410
0.0000 0.0000 9.6615
-3.8425 0.0000 9.6615
-1.9213 1.1092 3.2205
1.9213 1.1092 3.2205
-1.9558 -1.1292 11.1271
0.0000 0.0000 4.6607
0.0000 -2.2583 8.1960
-1.9558 1.1292 8.1960
1.9558 -1.1292 11.1271
0.0000 2.2583 11.1271
0.0000 0.0000 14.6624
1.9558 1.1292 8.1960
```


[5]
Density functional theory data (PBE) for crystalline V6CrFe2 at its relaxed geometry.

Properties
- space-group type = C2/m
- magnetic moment (μB/f.u.) = 0.000
- DFT formation energy (eV/f.u.) = 3.8
- calculated volume (Å³ per cell) = 129.1

```
V6CrFe2
1.0
6.0987 -2.7866 0.0000
6.0987 2.7866 0.0000
-1.3182 0.0000 3.7982
V Cr Fe
6 1 2
Cartesian
3.6236 1.4010 1.2648
6.0987 1.3982 0.0000
7.2557 1.4010 2.5334
3.6236 -1.4010 1.2648
6.0987 -1.3982 0.0000
7.2557 -1.4010 2.5334
5.4396 0.0000 1.8991
1.8234 0.0000 0.6376
9.0559 0.0000 3.1606
```


[6]
Density functional theory data (PBE) for crystalline Er3AlHg at its relaxed geometry.

Properties
- space-group type = Cmcm
- magnetic moment (μB/f.u.) = 0.000
- DFT formation energy (eV/f.u.) = -1.6
- calculated volume (Å³ per cell) = 258.0

```
Er3AlHg
1.0
2.5190 -10.1598 0.0000
2.5190 10.1598 0.0000
0.0000 0.0000 5.0412
Er Al Hg
6 2 2
Cartesian
2.5190 8.9223 3.7809
2.5190 5.0946 3.7809
2.5190 1.2908 3.7809
2.5190 -1.2908 1.2603
2.5190 -5.0946 1.2603
2.5190 -8.9223 1.2603
2.5190 6.9829 1.2603
2.5190 -6.9829 3.7809
2.5190 3.1818 1.2603
2.5190 -3.1818 3.7809
```


[7]
Density functional theory data (PBE) for crystalline AcHoNiIr at its relaxed geometry.

Properties
- space-group type = F-43m
- magnetic moment (μB/f.u.) = 0.000
- DFT formation energy (eV/f.u.) = -1.7
- calculated volume (Å³ per cell) = 358.7

```
AcHoNiIr
1.0
7.1052 0.0000 0.0000
0.0000 7.1052 0.0000
0.0000 0.0000 7.1052
Ac Ho Ni Ir
4 4 4 4
Cartesian
0.0000 0.0000 0.0000
0.0000 3.5526 3.5526
3.5526 0.0000 3.5526
3.5526 3.5526 0.0000
0.0000 0.0000 3.5526
0.0000 3.5526 0.0000
3.5526 0.0000 0.0000
3.5526 3.5526 3.5526
1.7763 1.7763 1.7763
1.7763 5.3289 5.3289
5.3289 1.7763 5.3289
5.3289 5.3289 1.7763
1.7763 1.7763 5.3289
1.7763 5.3289 1.7763
5.3289 1.7763 1.7763
5.3289 5.3289 5.3289
```